# 1
Here is a relaxed Mg2NpSi2Rh5 crystal from the Alexandria database. Energies are from PBE.

abc: 3.561 9.486 9.486
angles: 90.00 90.00 90.00
Each line ends with the local moment (μB).
Element x y z (fractional)
1 Rh 0.500 0.075 0.791  -0.07
2 Rh 0.500 0.791 0.925  -0.07
3 Rh 0.500 0.425 0.291  -0.07
4 Rh 0.500 0.925 0.209  -0.07
5 Rh 0.500 0.000 0.500  -0.01
6 Rh 0.500 0.709 0.425  -0.07
7 Rh 0.500 0.291 0.575  -0.07
8 Rh 0.500 0.500 0.000  -0.01
9 Rh 0.500 0.209 0.075  -0.07
10 Rh 0.500 0.575 0.709  -0.07
11 Np 0.000 0.000 0.000  3.06
12 Np 0.000 0.500 0.500  3.06
13 Si 0.000 0.875 0.375  0.02
14 Si 0.000 0.625 0.875  0.02
15 Si 0.000 0.375 0.125  0.02
16 Si 0.000 0.125 0.625  0.02
17 Mg 0.000 0.171 0.329  0.00
18 Mg 0.000 0.671 0.171  0.00
19 Mg 0.000 0.329 0.829  0.00
20 Mg 0.000 0.829 0.671  0.00

Output
For the uncorrected formation energy, the calculation gives -60 kJ per mole of atoms.

***

# 2
Here is a relaxed ZnCd3Ag3 crystal from the Alexandria database. Energies are from PBE.

abc: 6.116 6.116 7.521
angles: 89.89 89.89 81.17
Element x y z (fractional)
1 Cd 0.542 0.979 0.785
2 Cd 0.979 0.542 0.785
3 Cd 0.037 0.037 0.812
4 Cd 0.021 0.458 0.215
5 Cd 0.963 0.963 0.188
6 Cd 0.458 0.021 0.215
7 Zn 0.491 0.491 0.300
8 Zn 0.509 0.509 0.700
9 Ag 0.788 0.212 0.500
10 Ag 0.319 0.681 0.000
11 Ag 0.258 0.258 0.527
12 Ag 0.681 0.319 0.000
13 Ag 0.742 0.742 0.473
14 Ag 0.212 0.788 0.500

Output
Its formation energy is 0.235 kcal/mol of atoms. The value obtained for the energy above the most stable polymorph in this dataset is 11.7 meV/atom.

***

# 3
Here is a relaxed Mg2FeB crystal from the Alexandria database. Energies are from PBE.

abc: 8.535 8.535 6.330
angles: 47.61 47.61 90.00
Each line ends with the local moment (μB).
Element x y z (fractional)
1 Mg 0.875 0.716 0.750  -0.01
2 Mg 0.375 0.534 0.750  -0.01
3 Mg 0.466 0.125 0.250  -0.01
4 Mg 0.284 0.625 0.250  -0.01
5 B 0.250 0.750 0.500  -0.08
6 B 0.500 0.500 0.000  -0.08
7 Fe 0.000 0.000 0.000  1.36
8 Fe 0.750 0.250 0.500  1.36

Output
Its formation energy is 10.511 kcal/mol of atoms.

***

# 4
Here is a relaxed KCa2Y crystal from the Alexandria database. Energies are from PBE.

abc: 6.214 6.214 6.214
angles: 60.00 60.00 60.00
Each line ends with the local moment (μB).
Element x y z (fractional)
1 Ca 0.000 0.000 0.000  0.01
2 Ca 0.250 0.250 0.250  0.01
3 K 0.500 0.500 0.500  0.00
4 Y 0.750 0.750 0.750  0.08

Output
Its formation energy is 9.065 kcal/mol of atoms. The value obtained for the energy above the most stable polymorph in this dataset is 239.0 meV/atom.

***

# 5
Here is a relaxed Tb4PmS7 crystal from the Alexandria database. Energies are from PBE.

abc: 3.844 6.793 11.712
angles: 103.95 90.00 106.43
Element x y z (fractional)
1 Tb 0.112 0.224 0.419
2 Tb 0.300 0.601 0.187
3 Tb 0.001 0.001 0.002
4 Tb 0.700 0.401 0.814
5 S 0.659 0.319 0.051
6 S 0.342 0.684 0.950
7 S 0.739 0.478 0.349
8 S 0.957 0.914 0.215
9 S 0.502 0.004 0.496
10 S 0.045 0.089 0.789
11 S 0.255 0.509 0.649
12 Pm 0.888 0.777 0.580

Output
For the uncorrected formation energy, the calculation gives -199 kJ per mole of atoms.

***

# 6
Here is a relaxed CsY2CrC crystal from the Alexandria database. Energies are from PBE.

abc: 4.857 6.458 4.857
angles: 90.00 90.00 90.00
Each line ends with the local moment (μB).
Element x y z (fractional)
1 C 0.000 0.000 0.000  0.01
2 Y 0.000 0.000 0.500  -0.02
3 Y 0.500 0.000 0.000  -0.03
4 Cr 0.500 0.500 0.500  4.16
5 Cs 0.000 0.500 0.000  0.05

Output
Its formation energy is 18.000 kcal/mol of atoms.